No. 1
The following is a DFT calculation (PBE) of La15Pm2Mg2 after structural relaxation.

a = 9.0177 Å, b = 9.0177 Å, c = 9.0177 Å
α = 75.44°, β = 75.44°, γ = 75.44°
Last column: nearest neighbours and their distance in Å.
Positions (direct):
La1 0.0000 0.0000 0.5000  2 Pm 3.54, 8 La 3.56-3.61
La2 0.0000 0.3031 0.6969  6 La 3.27-3.61
La3 0.0000 0.5000 0.0000  2 Pm 3.54, 8 La 3.56-3.61
La4 0.0000 0.6969 0.3031  6 La 3.27-3.61
La5 0.1776 0.5985 0.5985  4 La 3.12-3.27
La6 0.3031 0.0000 0.6969  6 La 3.27-3.61
La7 0.3031 0.6969 0.0000  6 La 3.27-3.61
La8 0.4015 0.4015 0.8224  4 La 3.12-3.27
La9 0.4015 0.8224 0.4015  4 La 3.12-3.27
La10 0.5000 0.0000 0.0000  2 Pm 3.54, 8 La 3.56-3.61
La11 0.5985 0.1776 0.5985  4 La 3.12-3.27
La12 0.5985 0.5985 0.1776  4 La 3.12-3.27
La13 0.6969 0.0000 0.3031  6 La 3.27-3.61
La14 0.6969 0.3031 0.0000  6 La 3.27-3.61
La15 0.8224 0.4015 0.4015  4 La 3.12-3.27
Pm1 0.0863 0.0863 0.0863  1 Pm 3.30, 3 La 3.54
Pm2 0.9137 0.9137 0.9137  1 Pm 3.30, 3 La 3.54
Mg1 0.2924 0.2924 0.2924  15 La 3.93-4.16, 1 Pm 3.95
Mg2 0.7076 0.7076 0.7076  15 La 3.93-4.16, 1 Pm 3.95

The space group is R-3m. For the calculated volume, the calculation gives 673 Å³ per cell. For the total energy, the calculation gives -81.8 eV per cell.

---

No. 2
The following is a DFT calculation (PBE) of PmSm3Al3 after structural relaxation.

a = 7.4179 Å, b = 7.4179 Å, c = 7.0293 Å
α = 90.00°, β = 90.00°, γ = 90.23°
Last column: nearest neighbours and their distance in Å.
Positions (direct):
Pm1 0.2447 0.2447 0.0000  6 Al 3.17-3.23, 2 Sm 3.51
Pm2 0.7553 0.7553 0.0000  6 Al 3.17-3.23, 2 Sm 3.51
Sm1 0.2410 0.2410 0.5000  6 Al 3.15-3.20, 2 Pm 3.51
Sm2 0.2430 0.7570 0.5000  6 Al 3.14-3.19, 2 Sm 3.51
Sm3 0.2460 0.7540 0.0000  6 Al 3.16-3.23, 2 Sm 3.51
Sm4 0.7540 0.2460 0.0000  6 Al 3.16-3.23, 2 Sm 3.51
Sm5 0.7570 0.2430 0.5000  6 Al 3.14-3.19, 2 Sm 3.51
Sm6 0.7590 0.7590 0.5000  6 Al 3.15-3.20, 2 Pm 3.51
Al1 0.0000 0.5000 0.2527  6 Sm 3.14-3.16, 2 Pm 3.17, 1 Al 3.48
Al2 0.0000 0.5000 0.7473  6 Sm 3.14-3.16, 2 Pm 3.17, 1 Al 3.48
Al3 0.5000 0.0000 0.2527  6 Sm 3.14-3.16, 2 Pm 3.17, 1 Al 3.48
Al4 0.5000 0.0000 0.7473  6 Sm 3.14-3.16, 2 Pm 3.17, 1 Al 3.48
Al5 0.5000 0.5000 0.2577  6 Sm 3.19-3.23, 2 Pm 3.23, 1 Al 3.41
Al6 0.5000 0.5000 0.7423  6 Sm 3.19-3.23, 2 Pm 3.23, 1 Al 3.41

The space group is Cmmm. For the calculated volume, the calculation gives 387 Å³ per cell. For the total energy, the calculation gives -63.8 eV per cell.

---

Formation enthalpy at 0 K for the records above, in order: 254.2, -248.6 meV/atom